A geometry-optimized VHg2Au structure, computed with PBE.

abc: 7.7385 7.7385 6.2008
angles: 51.39 51.39 90.00
Closest atoms and distances in Å follow each position.
Fractional coordinates of all 8 atoms:
Au (0.7500, 0.2500, 0.5000)  4 Hg 2.85, 2 V 2.92
Au (0.0000, 0.0000, 0.0000)  4 Hg 2.85, 2 V 2.92
Hg (0.1279, 0.6250, 0.2500)  2 V 2.82, 2 Au 2.85, 2 Hg 2.92
Hg (0.8750, 0.8721, 0.7500)  2 V 2.82, 2 Au 2.85, 2 Hg 2.92
Hg (0.3750, 0.3779, 0.7500)  2 V 2.82, 2 Au 2.85, 2 Hg 2.92
Hg (0.6221, 0.1250, 0.2500)  2 V 2.82, 2 Au 2.85, 2 Hg 2.92
V (0.5000, 0.5000, 0.0000)  4 Hg 2.82, 2 Au 2.92
V (0.2500, 0.7500, 0.5000)  4 Hg 2.82, 2 Au 2.92

Calculated values
Uncorrected energy (eV/atom): -2.812
ΔH_f (0 K) (eV per atom): 0.4380
SG: I-42d, No. 122
Fermi-level density of states (states/eV per atom): 1.236